No. 1
10
Lattice="7.747 0.000 0.000 0.000 7.747 0.000 0.000 0.000 3.161" Properties=species:S:1:pos:R:3 comment="YTi2Mo2 (GGA-PBE, optimized geometry)" formation_energy_ev_per_atom=0.215 pbc="T T T"
Y 0.000 0.000 0.000
Y 3.874 3.874 0.000
Ti 2.803 1.071 1.581
Ti 1.071 4.945 1.581
Ti 6.676 2.803 1.581
Ti 4.945 6.676 1.581
Mo 6.633 4.988 0.000
Mo 2.759 6.633 0.000
Mo 4.988 1.114 0.000
Mo 1.114 2.759 0.000

=====

No. 2
4
Lattice="-2.856 -1.965 -7.135 -1.950 -4.260 -6.401 -4.301 -3.510 -5.667" Properties=species:S:1:pos:R:3 comment="MnBe2Al (GGA-PBE, optimized geometry)" formation_energy_ev_per_atom=0.201 pbc="T T T"
Be -2.290 -2.447 -4.827
Be -9.056 -9.681 -19.095
Al -6.822 -7.293 -14.384
Mn -4.600 -4.917 -9.699

=====

No. 3
7
Lattice="-2.385 0.565 3.186 0.269 -2.441 0.634 8.505 1.847 3.500" Properties=species:S:1:pos:R:3 comment="Li3Zn2Ni2 (GGA-PBE, optimized geometry)" formation_energy_ev_per_atom=-0.085 pbc="T T T"
Li 4.182 1.218 2.912
Li 1.938 1.194 3.773
Li 0.000 0.000 0.000
Zn 6.206 0.547 4.544
Zn 0.184 -0.576 2.776
Ni 1.959 0.571 1.365
Ni 4.161 1.841 5.320

=====

No. 4
5
Lattice="5.240 0.000 0.000 0.000 5.240 0.000 0.000 0.000 5.240" Properties=species:S:1:pos:R:3 comment="TlSi3Pb (GGA-PBE, optimized geometry)" formation_energy_uncorrected_ev_per_atom=1.29 pbc="T T T"
Si 2.620 0.000 0.000
Si 0.000 0.000 2.620
Si 0.000 2.620 0.000
Tl 0.000 0.000 0.000
Pb 2.620 2.620 2.620

=====

No. 5
20
Lattice="-1.275 1.399 -4.704 -0.817 -4.853 -1.222 -24.539 2.284 7.331" Properties=species:S:1:pos:R:3 comment="La15ErIn4 (GGA-PBE, optimized geometry)" formation_energy_ev_per_atom=-0.231 pbc="T T T"
In -19.532 1.818 5.835
In -5.007 0.466 1.496
In -9.845 0.916 2.941
In -14.694 1.367 4.390
La -7.827 -1.736 1.605
La -2.956 -2.190 0.150
La -1.046 -1.727 -2.963
La -12.907 1.841 1.313
La -15.735 -0.360 1.425
La -17.528 -0.833 4.504
La -10.895 -0.811 -0.021
La -6.032 -1.263 -1.474
La -12.678 -1.285 3.054
La -3.185 0.937 -1.591
La -22.400 -0.380 5.959
La -20.599 0.092 2.878
La -17.758 2.293 2.762
La -22.629 2.746 4.218
La -8.056 1.390 -0.136
Er 0.000 0.000 0.000

=====

No. 6
4
Lattice="4.695 -0.004 0.013 3.903 2.610 0.013 0.811 0.246 4.587" Properties=species:S:1:pos:R:3 comment="FeTc2W (GGA-PBE, optimized geometry)" formation_energy_ev_per_atom=0.152 pbc="T T T"
Tc 4.802 1.455 2.224
Tc 8.499 2.576 0.109
W 7.056 2.138 3.460
Fe 2.352 0.713 1.153

=====

No. 7
12
Lattice="-3.176 -3.984 3.569 6.174 -0.545 -0.535 0.413 8.549 8.107" Properties=species:S:1:pos:R:3 comment="La3PmDy2Er6 (GGA-PBE, optimized geometry)" formation_energy_ev_per_atom=0.021 pbc="T T T"
Er 1.004 2.473 9.083
Er 4.126 3.621 7.713
Er 2.343 -1.288 4.259
Er -0.714 0.399 3.428
Er 2.407 1.547 2.058
Er 1.068 5.308 6.882
Dy 3.059 -1.691 0.833
Dy -0.061 -2.838 2.202
La 4.823 3.157 4.202
La 1.706 2.010 5.571
La -1.412 0.863 6.939
Pm 0.000 0.000 0.000

=====

No. 8
10
Lattice="7.466 0.000 0.000 0.000 7.466 0.000 0.000 0.000 3.103" Properties=species:S:1:pos:R:3 comment="Pt2AuS2 (GGA-PBE, optimized geometry)" formation_energy_uncorrected_ev_per_atom=0.29 pbc="T T T"
S 6.359 2.626 1.552
S 1.107 4.840 1.552
S 2.626 1.107 1.552
S 4.840 6.359 1.552
Pt 2.366 6.099 0.000
Pt 5.100 1.367 0.000
Pt 6.099 5.100 0.000
Pt 1.367 2.366 0.000
Au 0.000 0.000 0.000
Au 3.733 3.733 0.000

=====

No. 9
12
Lattice="-5.327 -1.559 -1.237 1.902 -2.943 -4.478 2.352 -2.765 6.426" Properties=species:S:1:pos:R:3 comment="RbAcMg2F8 (GGA-PBE, optimized geometry)" formation_energy_uncorrected_ev_per_atom=-3.58 pbc="T T T"
F -0.161 -4.891 0.438
F 1.355 -2.167 0.162
F -1.090 -4.216 3.524
F 2.193 -4.434 2.629
F -2.050 -3.935 -3.685
F 2.930 -4.860 -0.074
F 0.958 -4.002 -2.346
F -1.199 -1.950 -1.047
Rb -2.344 -3.288 1.165
Mg -1.713 -2.251 -2.858
Mg 1.270 -3.980 -0.455
Ac 0.000 0.000 0.000

=====

No. 10
12
Lattice="5.966 0.000 0.000 0.000 7.411 0.000 0.000 0.000 10.343" Properties=species:S:1:pos:R:3 comment="Ac2LaPr2Tm (GGA-PBE, optimized geometry)" formation_energy_ev_per_atom=0.071 pbc="T T T"
La 0.000 0.056 5.172
La 0.000 3.761 5.171
Ac 0.000 5.616 8.555
Ac 2.983 0.056 0.003
Ac 0.000 1.910 1.788
Ac 2.983 3.762 10.340
Pr 0.000 5.615 1.791
Pr 0.000 1.909 8.552
Pr 2.983 5.614 6.800
Pr 2.983 1.909 3.543
Tm 2.983 5.613 3.465
Tm 2.983 1.908 6.878

=====

no.,energy (Ha/atom)
1,-0.315
2,-0.180
3,-0.107
4,-0.117
5,-0.173
6,-0.382
7,-0.171
8,-0.163
9,-0.203
10,-0.164